# 1
Material: BeCoRe2
Method: DFT, PBE
State: optimized geometry

* total moment: 0.22 μB/atom
* energy of formation: 0.344 eV per formula unit

a b c (Å): 4.1615 4.1615 4.1615
angles (deg): 60.00 60.00 60.00
Fractional coordinates of all 4 atoms:
Be1 0.0000 0.0000 0.0000
Co1 0.2500 0.2500 0.2500
Re1 0.5000 0.5000 0.5000
Re2 0.7500 0.7500 0.7500


# 2
Material: Y2Ho2Er3
Method: DFT, PBE
State: optimized geometry

* energy relative to the lowest polymorph listed for this composition: 0.0000 eV/atom
* total moment: 0.00 μB/atom
* energy of formation: 0.169 eV per formula unit

a b c (Å): 7.9064 7.9064 8.6538
angles (deg): 111.48 111.48 25.74
Fractional coordinates of all 7 atoms:
Y1 0.0718 0.0718 0.2145
Y2 0.9282 0.9282 0.7855
Ho1 0.3560 0.3560 0.0725
Ho2 0.6440 0.6440 0.9275
Er1 0.2134 0.2134 0.6418
Er2 0.5000 0.5000 0.5000
Er3 0.7866 0.7866 0.3582


# 3
Material: Tb6Pr8Pb
Method: DFT, PBE
State: optimized geometry

* total moment: 0.00 μB/atom
* energy of formation: 0.913 eV per formula unit

a b c (Å): 9.4100 9.4100 6.6933
angles (deg): 90.00 90.00 120.00
Fractional coordinates of all 15 atoms:
Tb1 0.0980 0.6521 0.1603
Tb2 0.3479 0.4459 0.1603
Tb3 0.4459 0.0980 0.8397
Tb4 0.5541 0.9020 0.1603
Tb5 0.6521 0.5541 0.8397
Tb6 0.9020 0.3479 0.8397
Pr1 0.0421 0.7675 0.6765
Pr2 0.2325 0.2746 0.6765
Pr3 0.2746 0.0421 0.3235
Pr4 0.3333 0.6667 0.6310
Pr5 0.6667 0.3333 0.3690
Pr6 0.7254 0.9579 0.6765
Pr7 0.7675 0.7254 0.3235
Pr8 0.9579 0.2325 0.3235
Pb1 0.0000 0.0000 0.0000


# 4
Material: Ba2MgBr
Method: DFT, PBE
State: optimized geometry

* energy relative to the lowest polymorph listed for this composition: 0.5444 eV/atom
* total moment: 0.00 μB/atom
* E_form (uncorrected): -205 meV/atom

a b c (Å): 6.1565 6.1565 6.1565
angles (deg): 60.00 60.00 60.00
Fractional coordinates of all 4 atoms:
Ba1 0.0000 0.0000 0.0000
Ba2 0.2500 0.2500 0.2500
Mg1 0.5000 0.5000 0.5000
Br1 0.7500 0.7500 0.7500


# 5
Material: AcEuCuGe
Method: DFT, PBE
State: optimized geometry

* total moment: 1.79 μB/atom
* energy of formation: -1.634 eV per formula unit

a b c (Å): 5.3480 5.3480 5.3480
angles (deg): 60.00 60.00 60.00
Fractional coordinates of all 4 atoms:
Ac1 0.0000 0.0000 0.0000
Eu1 0.5000 0.5000 0.5000
Cu1 0.2500 0.2500 0.2500
Ge1 0.7500 0.7500 0.7500


# 6
Material: ScCd2Cl
Method: DFT, PBE
State: optimized geometry

* energy relative to the lowest polymorph listed for this composition: 0.2524 eV/atom
* total moment: 0.00 μB/atom
* E_form (uncorrected): -338 meV/atom

a b c (Å): 3.3139 3.3139 9.0670
angles (deg): 90.00 90.00 112.21
Fractional coordinates of all 4 atoms:
Sc1 0.0000 0.0000 0.0000
Cd1 0.5000 0.5000 0.2597
Cd2 0.5000 0.5000 0.7403
Cl1 0.0000 0.0000 0.5000


# 7
Material: Pu4Pt2Pb
Method: DFT, PBE
State: optimized geometry

* total moment: 3.15 μB/atom
* energy of formation: -2.667 eV per formula unit

a b c (Å): 8.0138 8.0138 8.0138
angles (deg): 36.00 36.00 36.00
Fractional coordinates of all 7 atoms:
Pu1 0.0672 0.0672 0.0672
Pu2 0.2338 0.2338 0.2338
Pu3 0.7662 0.7662 0.7662
Pu4 0.9328 0.9328 0.9328
Pt1 0.3611 0.3611 0.3611
Pt2 0.6389 0.6389 0.6389
Pb1 0.5000 0.5000 0.5000


# 8
Material: MnHgBr
Method: DFT, PBE
State: optimized geometry

* energy relative to the lowest polymorph listed for this composition: 0.5794 eV/atom
* total moment: 1.78 μB/atom
* E_form (uncorrected): 522 meV/atom

a b c (Å): 5.0524 5.0524 5.0524
angles (deg): 60.00 60.00 60.00
Fractional coordinates of all 3 atoms:
Mn1 0.0000 0.0000 0.0000
Hg1 0.7500 0.7500 0.7500
Br1 0.5000 0.5000 0.5000